The following is a GGA-PBE calculation of an optimized crystal structure of Pm12Pr6In, from the Alexandria database.

Cell and atoms, written as POSCAR:
```
Pm12Pr6In
1.0
8.6399 0.6946 0.8321
-0.6233 8.6453 0.8321
-0.6233 -0.7262 8.6548
Pr Pm In
6 12 1
Direct
0.7395 0.9055 0.2980
0.2605 0.0945 0.7020
0.7020 0.2605 0.0945
0.9055 0.2980 0.7395
0.0945 0.7020 0.2605
0.2980 0.7395 0.9055
0.4337 0.7810 0.5361
0.4639 0.5663 0.2190
0.7810 0.5361 0.4337
0.5361 0.4337 0.7810
0.0160 0.1814 0.3593
0.1814 0.3593 0.0160
0.5663 0.2190 0.4639
0.3593 0.0160 0.1814
0.9840 0.8186 0.6407
0.6407 0.9840 0.8186
0.8186 0.6407 0.9840
0.2190 0.4639 0.5663
0.0000 0.0000 0.0000
```

DOS at the Fermi energy (states/eV per cell): 27.81
Calculated formation energy (meV per atom): 56
Symmetry: R-3 (148)


The following is a GGA-PBE calculation of an optimized crystal structure of Pm4Pr4In, from the Alexandria database.

Cell and atoms, written as POSCAR:
```
Pm4Pr4In
1.0
5.0431 0.0000 0.0000
2.5216 7.7530 0.0000
2.5216 0.0000 7.7530
In Pr Pm
1 4 4
Direct
0.0000 0.0000 0.0000
0.6610 0.0000 0.6780
0.6610 0.6780 0.0000
0.3390 0.0000 0.3220
0.3390 0.3220 0.0000
0.6669 0.3332 0.3331
0.3331 0.6668 0.6669
0.0000 0.3331 0.6668
0.0000 0.6669 0.3332
```

DOS at the Fermi energy (states/eV per cell): 12.66
Calculated formation energy (meV per atom): -72
Symmetry: I4/mmm (139)


The following is a GGA-PBE calculation of an optimized crystal structure of Pm7Pr3In2, from the Alexandria database.

Cell and atoms, written as POSCAR:
```
Pm7Pr3In2
1.0
-3.2566 4.0624 4.2377
-5.7377 -2.0173 2.8420
2.5357 -3.4656 10.5884
Pm Pr In
7 3 2
Direct
0.4188 0.9238 0.2387
0.5812 0.0762 0.7613
0.4188 0.4188 0.2387
0.5000 0.5000 0.5000
0.5812 0.5812 0.7613
0.9238 0.4188 0.2387
0.0762 0.5812 0.7613
0.8585 0.8585 0.4244
0.0000 0.0000 0.0000
0.1415 0.1415 0.5756
0.6660 0.6660 0.0021
0.3340 0.3340 0.9979
```

DOS at the Fermi energy (states/eV per cell): 23.54
Calculated formation energy (meV per atom): 85
Symmetry: R-3m (166)


The following is a GGA-PBE calculation of an optimized crystal structure of PmPr3In3, from the Alexandria database.

Cell and atoms, written as POSCAR:
```
PmPr3In3
1.0
9.6412 0.0000 0.0000
0.0000 9.6412 0.0000
0.0000 0.0000 9.6412
In Pr Pm
12 12 4
Direct
0.1277 0.5011 0.2478
0.7478 0.3723 0.4989
0.8723 0.0011 0.2522
0.4989 0.7478 0.3723
0.9989 0.7522 0.6277
0.6277 0.9989 0.7522
0.3723 0.4989 0.7478
0.2478 0.1277 0.5011
0.2522 0.8723 0.0011
0.0011 0.2522 0.8723
0.7522 0.6277 0.9989
0.5011 0.2478 0.1277
0.5729 0.0729 0.4271
0.0729 0.4271 0.5729
0.9271 0.9271 0.9271
0.3263 0.1737 0.8263
0.1752 0.1752 0.1752
0.6752 0.3248 0.8248
0.8263 0.3263 0.1737
0.4271 0.5729 0.0729
0.3248 0.8248 0.6752
0.6737 0.6737 0.6737
0.8248 0.6752 0.3248
0.1737 0.8263 0.3263
0.0754 0.5754 0.9246
0.5754 0.9246 0.0754
0.4246 0.4246 0.4246
0.9246 0.0754 0.5754
```

DOS at the Fermi energy (states/eV per cell): 33.27
Calculated formation energy (meV per atom): -342
E above lowest polymorph (meV/atom): 0
Symmetry: P2_13 (198)


The following is a GGA-PBE calculation of an optimized crystal structure of Pm5PrIn6, from the Alexandria database.

Cell and atoms, written as POSCAR:
```
Pm5PrIn6
1.0
-1.9426 4.6139 -2.1773
2.0451 -2.4506 -7.0201
-8.3099 -1.2120 -1.9981
Pm In Pr
5 6 1
Direct
0.3344 0.5000 0.3311
0.6656 0.5000 0.6689
0.3331 0.0000 0.3338
0.6669 0.0000 0.6662
0.0000 0.5000 0.0000
0.8321 0.2521 0.3357
0.8322 0.7479 0.3357
0.5000 0.7484 0.0000
0.5000 0.2516 0.0000
0.1679 0.7479 0.6643
0.1678 0.2521 0.6643
0.0000 0.0000 0.0000
```

DOS at the Fermi energy (states/eV per cell): 5.90
Calculated formation energy (meV per atom): -497
Symmetry: Cmmm (65)


The following is a GGA-PBE calculation of an optimized crystal structure of Pm3Pr2In, from the Alexandria database.

Cell and atoms, written as POSCAR:
```
Pm3Pr2In
1.0
6.9429 0.0000 0.0000
0.0000 6.6508 0.0310
-3.4714 -1.6842 8.6220
Pm Pr In
6 4 2
Direct
0.7257 0.4665 0.6711
0.2232 0.7500 0.0000
0.2743 0.5335 0.3289
0.7768 0.2500 0.0000
0.9454 0.9665 0.6711
0.0546 0.0335 0.3289
0.4354 0.9256 0.6795
0.5646 0.0744 0.3205
0.2441 0.4256 0.6795
0.7559 0.5744 0.3205
0.2828 0.2500 0.0000
0.7172 0.7500 0.0000
```

DOS at the Fermi energy (states/eV per cell): 13.71
Calculated formation energy (meV per atom): -99
E above lowest polymorph (meV/atom): 52
Symmetry: C2/c (15)


The following is a GGA-PBE calculation of an optimized crystal structure of Pm3PrIn2, from the Alexandria database.

Cell and atoms, written as POSCAR:
```
Pm3PrIn2
1.0
5.4708 0.0000 0.0000
-2.7354 8.9148 -0.8455
0.0000 -4.7773 8.1628
Pm In Pr
6 4 2
Direct
0.9409 0.8819 0.5954
0.6178 0.2356 0.6903
0.3822 0.7644 0.3097
0.0591 0.1181 0.4046
0.3060 0.6120 0.6114
0.6940 0.3880 0.3886
0.7710 0.5420 0.1336
0.4805 0.9611 0.1275
0.2290 0.4580 0.8664
0.5195 0.0389 0.8725
0.1297 0.2593 0.0866
0.8703 0.7407 0.9134
```

DOS at the Fermi energy (states/eV per cell): 13.28
Calculated formation energy (meV per atom): -252
E above lowest polymorph (meV/atom): 99
Symmetry: C2/m (12)


The following is a GGA-PBE calculation of an optimized crystal structure of PmPrIn, from the Alexandria database.

Cell and atoms, written as POSCAR:
```
PmPrIn
1.0
-4.9147 0.4600 2.0334
-2.7445 -4.3714 1.3635
-0.8725 -1.1060 5.1494
Pr Pm In
1 1 1
Direct
0.0000 0.0000 0.0000
0.5000 0.5000 0.5000
0.2500 0.2500 0.2500
```

DOS at the Fermi energy (states/eV per cell): 4.66
Calculated formation energy (meV per atom): -109
E above lowest polymorph (meV/atom): 181
Symmetry: F-43m (216)